{
  "formula": "Y2Al",
  "functional": "GGA-PBEsol",
  "state": "optimized geometry",
  "formation_enthalpy_0k_ev_per_fu": -0.78,
  "crystal_system": "hexagonal",
  "lattice_angstrom": [[3.6457, 0.0000, 0.0000], [0.0000, 8.5902, 0.0000], [0.0000, -4.2951, 7.4394]],
  "species": ["Y", "Y", "Y", "Y", "Y", "Y", "Al", "Al", "Al"],
  "frac_coords": [[0.0000, 0.7150, 0.7150], [0.0000, 0.0000, 0.2850], [0.0000, 0.2850, 0.0000], [0.5000, 0.3821, 0.3821], [0.5000, 0.0000, 0.6179], [0.5000, 0.6179, 0.0000], [0.0000, 0.6667, 0.3333], [0.0000, 0.3333, 0.6667], [0.5000, 0.0000, 0.0000]]
}



{
  "formula": "LiTaRe2",
  "functional": "GGA-PBEsol",
  "state": "optimized geometry",
  "formation_enthalpy_0k_ev_per_fu": 1.33,
  "e_above_lowest_polymorph_mev_per_atom": 31,
  "crystal_system": "orthorhombic",
  "lattice_angstrom": [[-2.5149, 0.0442, -0.5538], [-0.7477, -4.0499, 3.0722], [-0.3849, 4.6646, 2.1195]],
  "species": ["Li", "Re", "Re", "Ta"],
  "frac_coords": [[0.5000, 0.5000, 0.5000], [0.0000, 0.5000, 0.0000], [0.0000, 0.0000, 0.5000], [0.5000, 0.0000, 0.0000]]
}



{
  "formula": "NaS2O",
  "functional": "GGA-PBEsol",
  "state": "optimized geometry",
  "crystal_system": "trigonal",
  "formation_energy_uncorrected_ev_per_atom": -0.104,
  "lattice_angstrom": [[-0.5278, 2.9200, -3.3725], [0.4884, -1.3665, -4.2513], [-5.2907, -0.6886, -2.7598]],
  "species": ["Na", "S", "S", "O"],
  "frac_coords": [[0.5000, 0.5000, 0.5000], [0.8999, 0.8999, 0.3002], [0.1001, 0.1001, 0.6998], [0.0000, 0.0000, 0.0000]]
}



{
  "formula": "YMg2",
  "functional": "GGA-PBEsol",
  "state": "optimized geometry",
  "formation_enthalpy_0k_ev_per_fu": -0.23,
  "crystal_system": "orthorhombic",
  "lattice_angstrom": [[5.0093, 0.0000, 0.0000], [0.0000, 6.3919, 0.0000], [0.0000, 0.0000, 9.4015]],
  "species": ["Mg", "Mg", "Mg", "Mg", "Mg", "Mg", "Mg", "Mg", "Y", "Y", "Y", "Y"],
  "frac_coords": [[0.7500, 0.9500, 0.7341], [0.7500, 0.8343, 0.4098], [0.2500, 0.6657, 0.9098], [0.2500, 0.5500, 0.2341], [0.7500, 0.4500, 0.7659], [0.7500, 0.3343, 0.0902], [0.2500, 0.1657, 0.5902], [0.2500, 0.0500, 0.2659], [0.7500, 0.8305, 0.0768], [0.2500, 0.6695, 0.5768], [0.7500, 0.3305, 0.4232], [0.2500, 0.1695, 0.9232]]
}



{
  "formula": "SrTaF7",
  "functional": "GGA-PBEsol",
  "state": "optimized geometry",
  "crystal_system": "monoclinic",
  "formation_energy_uncorrected_ev_per_atom": -3.546,
  "lattice_angstrom": [[-2.0278, 3.2589, -3.0047], [-5.3627, -0.4116, 4.0062], [2.6074, 5.3469, 4.0396]],
  "species": ["Sr", "Sr", "Ta", "Ta", "F", "F", "F", "F", "F", "F", "F", "F", "F", "F", "F", "F", "F", "F"],
  "frac_coords": [[0.9693, 0.6828, 0.7500], [0.0307, 0.3172, 0.2500], [0.5340, 0.2185, 0.7500], [0.4660, 0.7815, 0.2500], [0.3469, 0.9486, 0.7500], [0.6784, 0.7830, 0.4749], [0.6531, 0.0514, 0.2500], [0.3216, 0.2170, 0.9749], [0.8310, 0.0447, 0.7500], [0.8077, 0.3595, 0.9248], [0.8077, 0.3595, 0.5752], [0.1923, 0.6405, 0.4248], [0.6784, 0.7830, 0.0251], [0.1690, 0.9553, 0.2500], [0.3216, 0.2170, 0.5251], [0.5834, 0.5033, 0.2500], [0.1923, 0.6405, 0.0752], [0.4166, 0.4967, 0.7500]]
}



{
  "formula": "ZnAgTe",
  "functional": "GGA-PBEsol",
  "state": "optimized geometry",
  "e_above_lowest_polymorph_mev_per_atom": 137,
  "crystal_system": "tetragonal",
  "formation_energy_uncorrected_ev_per_atom": 0.204,
  "lattice_angstrom": [[-2.0914, -2.0850, -0.9920], [-0.8385, -0.5612, 2.9474], [-2.9089, 5.8890, -1.3527]],
  "species": ["Ag", "Te", "Zn"],
  "frac_coords": [[0.9764, 0.9764, 0.9528], [0.6687, 0.6687, 0.3373], [0.3549, 0.3549, 0.7098]]
}



{
  "formula": "KAsSe2I",
  "functional": "GGA-PBEsol",
  "state": "optimized geometry",
  "crystal_system": "tetragonal",
  "formation_energy_uncorrected_ev_per_atom": 1.206,
  "lattice_angstrom": [[5.7782, 0.0000, 0.0000], [0.0000, 5.7782, 0.0000], [0.0000, 0.0000, 6.1154]],
  "species": ["I", "As", "K", "Se", "Se"],
  "frac_coords": [[0.5000, 0.5000, 0.5000], [0.0000, 0.0000, 0.5000], [0.0000, 0.0000, 0.0000], [0.0000, 0.5000, 0.0000], [0.5000, 0.0000, 0.0000]]
}



{
  "formula": "Li2TaSi",
  "functional": "GGA-PBEsol",
  "state": "optimized geometry",
  "crystal_system": "tetragonal",
  "formation_energy_uncorrected_ev_per_atom": -0.048,
  "lattice_angstrom": [[3.6209, 0.0000, 0.0000], [0.0000, 3.6209, 0.0000], [0.0000, 0.0000, 4.4658]],
  "species": ["Si", "Li", "Li", "Ta"],
  "frac_coords": [[0.5000, 0.5000, 0.5000], [0.0000, 0.5000, 0.0000], [0.5000, 0.0000, 0.0000], [0.0000, 0.0000, 0.5000]]
}



{
  "formula": "CoCuPd3",
  "functional": "GGA-PBEsol",
  "state": "optimized geometry",
  "formation_enthalpy_0k_ev_per_fu": 6.07,
  "crystal_system": "cubic",
  "lattice_angstrom": [[-2.1612, 2.2858, -3.1452], [-1.3864, -3.8150, -1.8199], [-3.6325, 0.0960, 2.5659]],
  "species": ["Co", "Cu", "Pd", "Pd", "Pd"],
  "frac_coords": [[0.5000, 0.5000, 0.5000], [0.0000, 0.0000, 0.0000], [0.0000, 0.5000, 0.0000], [0.0000, 0.0000, 0.5000], [0.5000, 0.0000, 0.0000]]
}



{
  "formula": "Be2FeBr",
  "functional": "GGA-PBEsol",
  "state": "optimized geometry",
  "e_above_lowest_polymorph_mev_per_atom": 0,
  "crystal_system": "orthorhombic",
  "formation_energy_uncorrected_ev_per_atom": 0.337,
  "lattice_angstrom": [[3.0696, 0.0000, 0.0000], [0.0000, 3.2112, 0.0000], [-1.5348, 0.0000, 5.4358]],
  "species": ["Be", "Be", "Fe", "Br"],
  "frac_coords": [[0.9834, 0.0000, 0.9669], [0.8456, 0.5000, 0.6912], [0.4963, 0.5000, 0.9926], [0.6879, 0.0000, 0.3759]]
}



{
  "formula": "AuIN2",
  "functional": "GGA-PBEsol",
  "state": "optimized geometry",
  "e_above_lowest_polymorph_mev_per_atom": 0,
  "crystal_system": "trigonal",
  "formation_energy_uncorrected_ev_per_atom": 1.196,
  "lattice_angstrom": [[-3.1419, 0.1909, -1.2590], [-2.6652, -0.6701, 1.9852], [-2.2270, 5.8530, 1.8805]],
  "species": ["I", "Au", "N", "N"],
  "frac_coords": [[0.0000, 0.0000, 0.0000], [0.5000, 0.5000, 0.5000], [0.8820, 0.8820, 0.3541], [0.1180, 0.1180, 0.6459]]
}



{
  "formula": "Ni2PCl",
  "functional": "GGA-PBEsol",
  "state": "optimized geometry",
  "e_above_lowest_polymorph_mev_per_atom": 270,
  "crystal_system": "tetragonal",
  "formation_energy_uncorrected_ev_per_atom": 0.258,
  "lattice_angstrom": [[3.1904, 0.0000, 0.0000], [0.0000, 3.1904, 0.0000], [-1.5952, -1.5952, 5.6677]],
  "species": ["Cl", "Ni", "Ni", "P"],
  "frac_coords": [[0.2500, 0.7500, 0.5000], [0.0000, 0.0000, 0.0000], [0.7500, 0.2500, 0.5000], [0.5000, 0.5000, 0.0000]]
}